A plane-wave DFT calculation with PBE was carried out for a geometry-optimized NiSn2Mo structure.

Energy above the lowest structure with this stoichiometry in meV per atom: 201
DOS(E_F) in states/eV per cell: 0.489
Total magnetic moment in μB per formula unit: 0.0
Crystal system: tetragonal

```
data_NiSn2Mo
_space_group_name_H-M_alt 'I -4 2 d'
_space_group_IT_number 122
_space_group_name_Hall 'I -4 2bw'
_cell_length_a 7.140
_cell_length_b 7.140
_cell_length_c 5.975
_cell_angle_alpha 90.00
_cell_angle_beta 90.00
_cell_angle_gamma 90.00
loop_
_atom_site_label
_atom_site_fract_x
_atom_site_fract_y
_atom_site_fract_z
Ni1 0.000 0.000 0.000
Sn1 0.214 0.750 0.125
Mo1 0.000 0.000 0.500
```